An optimized crystal structure of NaEuGePb. Source: the Alexandria database, functional PBE.

Cell lengths 5.359, 5.359, 5.359 Å; angles 60.00, 60.00, 60.00 degrees
Sites, in units of the cell vectors:
Na  0.000  0.000  0.000
Eu  0.500  0.500  0.500
Ge  0.250  0.250  0.250
Pb  0.750  0.750  0.750

## Properties
**SG**: F-43m
**Total magnetization**: 6.910 μB per formula unit
**Density**: 6.94 Mg/m³
**ΔE_f**: -254 meV/atom